Below is a relaxed TaCdOs2 crystal, with properties calculated at the GGA-PBE level.

Cell: 10.2652 2.8862 4.8279 Å, 90.00 111.09 90.00°
Space group Cm (No. 8)
One atom of each set of equivalent atoms:
Ta: 0.0000 0.0000 0.0000
Cd: 0.2187 0.0000 0.6168
Os: 0.2566 0.5000 0.1355
Os: 0.4634 0.0000 0.4801

Values from the calculation:
Theoretical density ... 16768 kg/m3
D(E_F) ... 5.82 states/eV/cell
Raw total energy ... -8.541 eV per atom